Here is a geometry-optimized KHfNb2Ir structure from the Alexandria database. Energies are from PBE-GGA.

Values from the calculation:
Its formation energy is 10.89 eV/f.u. The total energy comes out at -5.83 eV/atom. The magnetization comes out at 0.0 μB/cell. The calculation puts the mass density at 7.96 Mg/m³. Its space group is No. 123.

Cell and atoms, written as CIF:
```
data_KHfNb2Ir
_chemical_formula_sum 'K1 Hf1 Nb2 Ir1'
_symmetry_space_group_name_H-M 'P 1'
_symmetry_Int_Tables_number 1
_symmetry_space_group_name_Hall 'P 1'
_cell_length_a 4.923
_cell_length_b 5.128
_cell_length_c 4.923
_cell_angle_alpha 90.00
_cell_angle_beta 90.00
_cell_angle_gamma 90.00
loop_
_atom_site_label
_atom_site_fract_x
_atom_site_fract_y
_atom_site_fract_z
K1 0.000 0.500 0.000
Hf1 0.000 0.000 0.000
Nb1 0.500 0.000 0.000
Nb2 0.000 0.000 0.500
Ir1 0.500 0.500 0.500
```